Arrangement i

## Co2IrOs (PBE-GGA)

Data for crystalline Co2IrOs at its relaxed geometry.

Values from the calculation:
The calculation puts the theoretical density at 16.54 g/cm³. The calculation puts the density of states at the Fermi level at 4.65 states/eV/f.u. The space group is I-4m2 (119).

Unit cell a=4.5586 b=4.5586 c=4.5586 alpha=132.68 beta=132.68 gamma=69.15
Positions (direct):
Co 0.0000 0.0000 0.0000
Co 0.7500 0.2500 0.5000
Ir 0.2500 0.7500 0.5000
Os 0.5000 0.5000 0.0000

Arrangement ii

## Co2IrOs (PBE-GGA)

Data for crystalline Co2IrOs at its relaxed geometry.

Values from the calculation:
The calculation puts the theoretical density at 16.38 g/cm³. The calculation puts the density of states at the Fermi level at 6.78 states/eV/f.u. The space group is Imm2 (44).

Unit cell a=4.9885 b=4.9885 c=4.9885 alpha=147.77 beta=129.36 gamma=61.31
Positions (direct):
Co 0.0000 0.0000 0.0000
Co 0.7802 0.2802 0.5000
Ir 0.5249 0.5249 0.0000
Os 0.2483 0.7483 0.5000

Arrangement iii

## Co2IrOs (PBE-GGA)

Data for crystalline Co2IrOs at its relaxed geometry.

Values from the calculation:
The calculation puts the theoretical density at 16.41 g/cm³. The calculation puts the density of states at the Fermi level at 7.35 states/eV/f.u. The space group is Fm-3m (225).

Unit cell a=4.1524 b=4.1524 c=4.1524 alpha=60.00 beta=60.00 gamma=60.00
Positions (direct):
Co 0.2500 0.2500 0.2500
Co 0.7500 0.7500 0.7500
Ir 0.0000 0.0000 0.0000
Os 0.5000 0.5000 0.5000

Arrangement iv

## Co2IrOs (PBE-GGA)

Data for crystalline Co2IrOs at its relaxed geometry.

Values from the calculation:
The calculation puts the theoretical density at 16.46 g/cm³. The calculation puts the density of states at the Fermi level at 4.02 states/eV/f.u. The space group is Cm (8).

Unit cell a=4.5445 b=4.5445 c=4.4532 alpha=99.93 beta=99.93 gamma=33.91
Positions (direct):
Co 0.0000 0.0000 0.0000
Co 0.7471 0.7471 0.2334
Ir 0.2485 0.2485 0.7403
Os 0.4967 0.4967 0.4838

Top of the stability list: arrangement i, leading by 0.015 eV/atom.

Arrangement i

## Co2IrOs (PBE-GGA)

Data for crystalline Co2IrOs at its relaxed geometry.

Values from the calculation:
The calculation puts the theoretical density at 15.55 g/cm³. The calculation puts the density of states at the Fermi level at 6.54 states/eV/f.u. The space group is Immm (71).

Unit cell a=5.0959 b=5.0959 c=5.0959 alpha=149.15 beta=127.36 gamma=62.27
Positions (direct):
Co 0.2470 0.2470 0.0000
Co 0.7530 0.7530 0.0000
Ir 0.5000 0.0000 0.5000
Os 0.0000 0.5000 0.5000

Arrangement ii

## Co2IrOs (PBE-GGA)

Data for crystalline Co2IrOs at its relaxed geometry.

Values from the calculation:
The calculation puts the theoretical density at 15.55 g/cm³. The calculation puts the density of states at the Fermi level at 5.74 states/eV/f.u. The space group is Cmm2 (35).

Unit cell a=2.6397 b=2.6397 c=8.7130 alpha=90.00 beta=90.00 gamma=118.38
Positions (direct):
Co 0.0000 0.0000 0.0000
Co 0.5000 0.5000 0.2277
Ir 0.0000 0.0000 0.4798
Os 0.5000 0.5000 0.7514

Top of the stability list: arrangement i, leading by 0.031 eV/atom.

Arrangement i

## Co2IrOs (PBE-GGA)

Data for crystalline Co2IrOs at its relaxed geometry.

Values from the calculation:
The calculation puts the theoretical density at 15.53 g/cm³. The calculation puts the density of states at the Fermi level at 6.66 states/eV/f.u. The space group is Pmmm (47).

Unit cell a=2.6983 b=4.3847 c=4.5204 alpha=90.00 beta=90.00 gamma=90.00
Positions (direct):
Co 0.0000 0.0000 0.0000
Co 0.5000 0.0000 0.5000
Ir 0.0000 0.5000 0.5000
Os 0.5000 0.5000 0.0000

Arrangement ii

## Co2IrOs (PBE-GGA)

Data for crystalline Co2IrOs at its relaxed geometry.

Values from the calculation:
The calculation puts the theoretical density at 15.96 g/cm³. The calculation puts the density of states at the Fermi level at 5.54 states/eV/f.u. The space group is R3m (160).

Unit cell a=8.5353 b=8.5353 c=8.5353 alpha=18.04 beta=18.04 gamma=18.04
Positions (direct):
Co 0.0000 0.0000 0.0000
Co 0.2564 0.2564 0.2564
Ir 0.7507 0.7507 0.7507
Os 0.5064 0.5064 0.5064

Top of the stability list: arrangement ii, leading by 0.215 eV/atom.

Arrangement i

## Co2IrOs (PBE-GGA)

Data for crystalline Co2IrOs at its relaxed geometry.

Values from the calculation:
The calculation puts the theoretical density at 16.51 g/cm³. The calculation puts the density of states at the Fermi level at 4.22 states/eV/f.u. The space group is P4/mmm (123).

Unit cell a=3.7342 b=3.7342 c=3.6089 alpha=90.00 beta=90.00 gamma=90.00
Positions (direct):
Co 0.0000 0.5000 0.0000
Co 0.5000 0.0000 0.0000
Ir 0.0000 0.0000 0.5000
Os 0.5000 0.5000 0.5000

Arrangement ii

## Co2IrOs (PBE-GGA)

Data for crystalline Co2IrOs at its relaxed geometry.

Values from the calculation:
The calculation puts the theoretical density at 16.36 g/cm³. The calculation puts the density of states at the Fermi level at 5.31 states/eV/f.u. The space group is Pmm2 (25).

Unit cell a=2.6671 b=3.6897 c=5.1590 alpha=90.00 beta=90.00 gamma=90.00
Positions (direct):
Co 0.0000 0.0000 0.0000
Co 0.5000 0.5000 0.2290
Ir 0.0000 0.0000 0.4895
Os 0.5000 0.5000 0.7507

Top of the stability list: arrangement ii, leading by 0.039 eV/atom.